No. 1
## Tb5PrHo2Er (PBE-GGA)

Data for a relaxed Tb5PrHo2Er crystal.

```
18
Lattice="2.7988 -9.9611 0.0000 2.7988 9.9611 0.0000 0.0000 0.0000 10.6648" Properties=species:S:1:pos:R:3 pbc="T T T"
Tb 2.7988 9.6121 5.3324
Tb 2.7988 4.3308 8.2984
Tb 2.7988 3.9871 1.9205
Tb 2.7988 2.0945 5.3119
Tb 2.7988 0.4254 2.2672
Tb 2.7988 -0.4254 7.5996
Tb 2.7988 -2.0945 10.6443
Tb 2.7988 -3.9871 7.2529
Tb 2.7988 -4.3308 2.9660
Tb 2.7988 -9.6121 0.0000
Pr 2.7988 5.9251 5.1571
Pr 2.7988 -5.9251 10.4895
Ho 2.7988 7.8054 2.2575
Ho 2.7988 7.6800 8.4580
Ho 2.7988 -7.6800 3.1256
Ho 2.7988 -7.8054 7.5899
Er 2.7988 1.7238 9.9206
Er 2.7988 -1.7238 4.5882
```

Crystal system: orthorhombic
SG: Cmc2_1
Mass density (g/cm³): 8.001
Calculated volume (Å³ per atom): 33.04

No. 2
## KLa2Ag (PBE-GGA)

Data for a relaxed KLa2Ag crystal.

```
4
Lattice="0.0000 4.0048 4.0048 4.0048 0.0000 4.0048 4.0048 4.0048 0.0000" Properties=species:S:1:pos:R:3 pbc="T T T"
K 0.0000 0.0000 0.0000
La 2.0024 2.0024 2.0024
La 6.0072 6.0072 6.0072
Ag 4.0048 4.0048 4.0048
```

Crystal system: cubic
SG: Fm-3m
Mass density (g/cm³): 5.491
Calculated volume (Å³ per atom): 32.12

Number 1: total DFT energy (no corrections) -40.271 eV/f.u., ΔH_f (0 K) 153 meV/atom. Number 2: total DFT energy (no corrections) -12.426 eV/f.u., ΔH_f (0 K) 344 meV/atom.